[1]
# LiMg2Se

An optimized crystal structure of LiMg2Se (GGA-PBE, Alexandria).

Structure (extended XYZ):
```
4
Lattice="4.652 -0.028 -0.061 3.255 3.323 -0.061 2.068 0.862 6.000" Properties=species:S:1:pos:R:3 pbc="T T T"
Se 4.482 1.868 2.076
Mg 0.289 0.121 0.061
Mg 8.000 3.334 4.202
Li 2.190 0.913 2.478
```

**E_tot**: -2.655 eV/atom
**Energy relative to the elements, uncorrected**: -0.5081 eV per atom
**D(E_F)**: 0.79 states/eV/cell

[2]
# Li2MgSe

An optimized crystal structure of Li2MgSe (GGA-PBE, Alexandria).

Structure (extended XYZ):
```
8
Lattice="6.185 0.000 0.000 0.000 6.185 0.000 3.092 3.092 6.814" Properties=species:S:1:pos:R:3 pbc="T T T"
Se 6.185 3.092 3.407
Li 6.788 4.639 1.704
Li 4.639 3.696 5.111
Se 0.000 0.000 0.000
Mg 3.092 3.092 0.000
Mg 3.092 6.185 3.407
Li 7.731 2.489 5.111
Li 5.581 1.546 1.704
```

**E_tot**: -2.615 eV/atom
**Energy relative to the lowest polymorph listed for this composition**: 260 meV/atom
**Energy relative to the elements, uncorrected**: -0.3884 eV per atom
**D(E_F)**: 0.00 states/eV/cell

[3]
# Li2MgSe

An optimized crystal structure of Li2MgSe (GGA-PBE, Alexandria).

Structure (extended XYZ):
```
4
Lattice="3.645 0.000 0.000 0.000 3.814 0.022 0.000 1.878 6.189" Properties=species:S:1:pos:R:3 pbc="T T T"
Li 0.000 5.453 5.779
Li 1.822 1.663 1.410
Mg 0.000 3.561 3.210
Se 1.822 3.553 5.130
```

**E_tot**: -2.872 eV/atom
**Energy relative to the lowest polymorph listed for this composition**: 3 meV/atom
**Energy relative to the elements, uncorrected**: -0.6454 eV per atom
**D(E_F)**: 0.59 states/eV/cell

[4]
# LiMg3Se

An optimized crystal structure of LiMg3Se (GGA-PBE, Alexandria).

Structure (extended XYZ):
```
5
Lattice="4.930 0.000 0.000 0.000 4.930 0.000 0.000 0.000 4.930" Properties=species:S:1:pos:R:3 pbc="T T T"
Mg 0.000 0.000 2.465
Se 2.465 2.465 2.465
Li 0.000 0.000 0.000
Mg 2.465 0.000 0.000
Mg 0.000 2.465 0.000
```

**E_tot**: -1.804 eV/atom
**Energy relative to the lowest polymorph listed for this composition**: 201 meV/atom
**Energy relative to the elements, uncorrected**: 0.2320 eV per atom
**D(E_F)**: 2.33 states/eV/cell

[5]
# LiMg2Se

An optimized crystal structure of LiMg2Se (GGA-PBE, Alexandria).

Structure (extended XYZ):
```
4
Lattice="-1.413 -3.325 0.449 0.066 -0.542 -3.803 5.854 -2.685 -1.453" Properties=species:S:1:pos:R:3 pbc="T T T"
Mg 0.843 -2.595 -1.802
Li 3.231 -3.842 -3.519
Mg 5.838 -2.710 -1.690
Se 3.409 -1.703 -1.878
```

**E_tot**: -2.723 eV/atom
**Energy relative to the elements, uncorrected**: -0.5757 eV per atom
**D(E_F)**: 1.14 states/eV/cell

[6]
# LiMgSe2

An optimized crystal structure of LiMgSe2 (GGA-PBE, Alexandria).

Structure (extended XYZ):
```
4
Lattice="-3.100 -2.437 -0.807 3.454 -3.306 -3.282 0.803 -1.954 2.813" Properties=species:S:1:pos:R:3 pbc="T T T"
Li -1.148 -2.195 1.003
Se 0.000 0.000 0.000
Mg 2.129 -2.630 -0.235
Se 0.177 -2.872 -2.045
```

**E_tot**: -3.351 eV/atom
**Energy relative to the elements, uncorrected**: -0.7313 eV per atom
**D(E_F)**: 1.86 states/eV/cell

[7]
# Li2MgSe

An optimized crystal structure of Li2MgSe (GGA-PBE, Alexandria).

Structure (extended XYZ):
```
4
Lattice="-0.380 -0.291 -3.566 2.734 -2.337 -0.096 -3.725 -4.390 0.755" Properties=species:S:1:pos:R:3 pbc="T T T"
Li 0.319 -2.325 -1.657
Mg -1.932 -2.277 0.392
Li -3.665 -4.320 0.743
Se -1.680 -4.680 -1.252
```

**E_tot**: -2.837 eV/atom
**Energy relative to the lowest polymorph listed for this composition**: 38 meV/atom
**Energy relative to the elements, uncorrected**: -0.6108 eV per atom
**D(E_F)**: 0.26 states/eV/cell

[8]
# Li2MgSe

An optimized crystal structure of Li2MgSe (GGA-PBE, Alexandria).

Structure (extended XYZ):
```
4
Lattice="0.000 3.393 3.393 3.393 0.000 3.393 3.393 3.393 0.000" Properties=species:S:1:pos:R:3 pbc="T T T"
Li 5.090 5.090 5.090
Mg 0.000 0.000 0.000
Se 3.393 3.393 3.393
Li 1.697 1.697 1.697
```

**E_tot**: -2.683 eV/atom
**Energy relative to the lowest polymorph listed for this composition**: 192 meV/atom
**Energy relative to the elements, uncorrected**: -0.4562 eV per atom
**D(E_F)**: 0.00 states/eV/cell

[9]
# LiMgSe2

An optimized crystal structure of LiMgSe2 (GGA-PBE, Alexandria).

Structure (extended XYZ):
```
4
Lattice="-1.641 -0.896 -4.295 2.825 -3.701 0.516 -2.702 -1.865 1.421" Properties=species:S:1:pos:R:3 pbc="T T T"
Se 0.000 0.000 0.000
Se 0.592 -2.298 -1.890
Mg 0.062 -2.783 0.969
Li -2.171 -1.381 -1.437
```

**E_tot**: -3.357 eV/atom
**Energy relative to the elements, uncorrected**: -0.7376 eV per atom
**D(E_F)**: 0.88 states/eV/cell

[10]
# LiMg2Se

An optimized crystal structure of LiMg2Se (GGA-PBE, Alexandria).

Structure (extended XYZ):
```
4
Lattice="-4.991 -3.435 2.854 -0.281 -4.213 5.199 1.850 5.904 -2.566" Properties=species:S:1:pos:R:3 pbc="T T T"
Se -2.889 -0.678 2.157
Li -0.533 -1.067 3.330
Mg -2.992 -4.341 4.571
Mg -4.915 -7.131 7.508
```

**E_tot**: -2.684 eV/atom
**Energy relative to the elements, uncorrected**: -0.5373 eV per atom
**D(E_F)**: 1.18 states/eV/cell

[11]
# LiMg2Se

An optimized crystal structure of LiMg2Se (GGA-PBE, Alexandria).

Structure (extended XYZ):
```
4
Lattice="-2.056 2.049 2.188 -2.693 -2.428 -0.256 2.192 -2.939 4.812" Properties=species:S:1:pos:R:3 pbc="T T T"
Mg 2.155 -2.889 4.732
Mg -1.786 -0.979 2.258
Li -0.772 -2.338 4.485
Se 1.133 -1.519 2.488
```

**E_tot**: -2.636 eV/atom
**Energy relative to the elements, uncorrected**: -0.4888 eV per atom
**D(E_F)**: 1.26 states/eV/cell

[12]
# Li2MgSe

An optimized crystal structure of Li2MgSe (GGA-PBE, Alexandria).

Structure (extended XYZ):
```
4
Lattice="5.412 0.003 0.000 2.487 4.807 0.000 -3.950 -2.405 2.812" Properties=species:S:1:pos:R:3 pbc="T T T"
Mg 3.950 2.405 0.000
Li 1.244 2.403 1.406
Li 0.000 0.000 0.000
Se 2.706 0.002 1.406
```

**E_tot**: -2.742 eV/atom
**Energy relative to the lowest polymorph listed for this composition**: 133 meV/atom
**Energy relative to the elements, uncorrected**: -0.5151 eV per atom
**D(E_F)**: 1.29 states/eV/cell

[13]
# LiMgSe2

An optimized crystal structure of LiMgSe2 (GGA-PBE, Alexandria).

Structure (extended XYZ):
```
4
Lattice="3.496 0.000 0.000 0.000 3.496 0.000 0.000 0.000 6.401" Properties=species:S:1:pos:R:3 pbc="T T T"
Li 1.748 1.748 1.600
Mg 1.748 1.748 4.801
Se 0.000 0.000 3.235
Se 0.000 0.000 6.366
```

**E_tot**: -3.353 eV/atom
**Energy relative to the elements, uncorrected**: -0.7337 eV per atom
**D(E_F)**: 1.48 states/eV/cell

[14]
# LiMg2Se

An optimized crystal structure of LiMg2Se (GGA-PBE, Alexandria).

Structure (extended XYZ):
```
4
Lattice="-5.824 1.302 -0.763 1.059 -2.491 4.187 -0.556 2.744 1.689" Properties=species:S:1:pos:R:3 pbc="T T T"
Se -2.382 -0.595 1.712
Li -3.190 2.023 0.463
Mg 0.252 0.127 2.938
Mg 0.000 0.000 0.000
```

**E_tot**: -2.440 eV/atom
**Energy relative to the elements, uncorrected**: -0.2929 eV per atom
**D(E_F)**: 1.72 states/eV/cell

[15]
# Li2MgSe

An optimized crystal structure of Li2MgSe (GGA-PBE, Alexandria).

Structure (extended XYZ):
```
4
Lattice="4.205 0.000 0.000 0.000 4.210 0.000 0.000 0.000 4.009" Properties=species:S:1:pos:R:3 pbc="T T T"
Mg 2.102 0.000 2.005
Se 0.000 2.105 2.005
Li 0.000 0.000 0.000
Li 2.102 2.105 0.000
```

**E_tot**: -2.875 eV/atom
**Energy relative to the lowest polymorph listed for this composition**: 0 meV/atom
**Energy relative to the elements, uncorrected**: -0.6483 eV per atom
**D(E_F)**: 0.17 states/eV/cell

[16]
# Li2MgSe

An optimized crystal structure of Li2MgSe (GGA-PBE, Alexandria).

Structure (extended XYZ):
```
4
Lattice="4.847 0.000 0.000 2.423 4.197 0.000 2.423 1.399 3.957" Properties=species:S:1:pos:R:3 pbc="T T T"
Se 7.270 4.197 2.968
Li 2.423 1.399 0.989
Li 0.000 0.000 0.000
Mg 4.847 2.798 1.979
```

**E_tot**: -2.609 eV/atom
**Energy relative to the lowest polymorph listed for this composition**: 266 meV/atom
**Energy relative to the elements, uncorrected**: -0.3825 eV per atom
**D(E_F)**: 0.54 states/eV/cell

[17]
# Li2Mg2Se

An optimized crystal structure of Li2Mg2Se (GGA-PBE, Alexandria).

Structure (extended XYZ):
```
10
Lattice="-4.175 -3.377 3.612 -0.004 -4.725 -4.423 3.794 -2.191 2.337" Properties=species:S:1:pos:R:3 pbc="T T T"
Li -3.538 -5.946 0.168
Li -1.451 -5.171 -2.492
Mg 1.194 -4.817 -1.179
Mg -0.895 -7.283 -0.101
Se -2.090 -4.051 -0.405
Li -0.642 -2.156 -0.979
Li -2.729 -2.932 1.682
Mg 0.509 -3.010 1.627
Mg -1.580 -5.477 2.705
Se 0.000 0.000 0.000
```

**E_tot**: -2.443 eV/atom
**Energy relative to the lowest polymorph listed for this composition**: 0 meV/atom
**Energy relative to the elements, uncorrected**: -0.3432 eV per atom
**D(E_F)**: 3.89 states/eV/cell

[18]
# LiMgSe2

An optimized crystal structure of LiMgSe2 (GGA-PBE, Alexandria).

Structure (extended XYZ):
```
4
Lattice="3.671 0.000 0.000 0.000 3.209 -0.028 0.000 0.238 7.049" Properties=species:S:1:pos:R:3 pbc="T T T"
Mg 1.835 2.585 5.266
Li 1.835 0.862 1.755
Se 0.000 1.683 3.559
Se 0.000 0.278 7.001
```

**E_tot**: -3.422 eV/atom
**Energy relative to the elements, uncorrected**: -0.8024 eV per atom
**D(E_F)**: 0.87 states/eV/cell

[19]
# Li2MgSiSe4

An optimized crystal structure of Li2MgSiSe4 (GGA-PBE, Alexandria).

Structure (extended XYZ):
```
16
Lattice="6.675 0.000 0.000 0.000 7.236 0.000 0.000 0.000 8.023" Properties=species:S:1:pos:R:3 pbc="T T T"
Si 6.675 1.249 0.000
Se 5.910 2.383 1.858
Mg 6.644 1.034 4.011
Li 3.344 2.375 2.052
Se 5.636 5.897 4.011
Mg 3.306 6.202 0.000
Si 3.337 5.986 4.011
Li 0.006 4.861 1.960
Li 0.006 4.861 6.063
Se 2.589 0.919 4.011
Se 2.573 4.852 2.153
Se 2.573 4.852 5.870
Se 2.298 1.338 0.000
Se 5.926 6.317 0.000
Se 5.910 2.383 6.165
Li 3.344 2.375 5.971
```

**E_tot**: -4.083 eV/atom
**Energy relative to the elements, uncorrected**: -0.9853 eV per atom
**D(E_F)**: 0.00 states/eV/cell

[20]
# LiMg2SiSe4

An optimized crystal structure of LiMg2SiSe4 (GGA-PBE, Alexandria).

Structure (extended XYZ):
```
16
Lattice="-2.550 1.982 -5.874 -6.066 -3.698 1.386 -3.313 6.837 3.745" Properties=species:S:1:pos:R:3 pbc="T T T"
Si -3.621 1.312 -5.600
Se -5.063 2.251 -3.822
Mg -4.106 1.502 -1.518
Si -7.903 1.361 0.101
Se -7.553 3.393 1.470
Se -7.445 -1.426 -3.983
Mg -5.739 4.872 0.328
Li -6.394 -2.138 -1.753
Se -3.492 3.644 -0.164
Se -5.904 -0.010 -0.394
Se -8.862 2.062 -2.026
Se -6.727 5.685 -1.941
Mg -7.430 1.181 -4.008
Mg -9.110 4.648 -2.109
Li -5.142 4.822 -3.774
Se -1.965 0.070 -1.867
```

**E_tot**: -3.912 eV/atom
**Energy relative to the elements, uncorrected**: -0.8544 eV per atom
**D(E_F)**: 6.96 states/eV/cell